GdAgGe: relaxed, PBE-GGA.

extended XYZ file:
```
9
Lattice="7.8396 0.0000 0.0000 -3.9198 6.7893 0.0000 0.0000 0.0000 3.8892" Properties=species:S:1:pos:R:3 pbc="T T T"
Gd -1.0842 1.8780 0.0000
Gd 2.1685 0.0000 0.0000
Gd 2.8356 4.9113 0.0000
Ag -2.4234 4.1974 1.9446
Ag 1.4964 2.5919 1.9446
Ag 4.8467 0.0000 1.9446
Ge 0.0000 0.0000 1.9446
Ge 0.0000 4.5262 0.0000
Ge 3.9198 2.2631 0.0000
```

Values from the calculation:
Its total energy is -39.35 eV/cell. Its calculated density is 8.13 g/cm³. The calculation puts the calculated volume at 23.000 Å³/atom.

=====

GdAgGe: relaxed, PBE-GGA.

extended XYZ file:
```
9
Lattice="7.3595 0.0000 0.0000 -3.6798 6.3735 0.0000 0.0000 0.0000 4.1877" Properties=species:S:1:pos:R:3 pbc="T T T"
Gd -2.2122 3.8317 0.0000
Gd 1.4676 2.5419 0.0000
Gd 4.4244 0.0000 0.0000
Ag 0.0000 0.0000 0.0000
Ag 0.0000 4.2490 2.0938
Ag 3.6798 2.1245 2.0938
Ge -0.9747 1.6883 2.0938
Ge 1.9495 0.0000 2.0938
Ge 2.7050 4.6852 2.0938
```

Values from the calculation:
Its total energy is -40.09 eV/cell. Its calculated density is 8.57 g/cm³. The calculation puts the calculated volume at 21.825 Å³/atom.

=====

GdHo2Ag4Ge4: relaxed, PBE-GGA.

extended XYZ file:
```
11
Lattice="-2.1634 3.5749 7.2684 2.1634 -3.5749 7.2684 2.1634 3.5749 -7.2684" Properties=species:S:1:pos:R:3 pbc="T T T"
Gd 0.0000 0.0000 0.0000
Ho 2.1634 0.0000 5.4370
Ho 0.0000 3.5749 1.8314
Ag 2.1634 1.4160 -2.4564
Ag 2.1634 1.4160 2.4564
Ag 0.0000 2.1589 4.8120
Ag 0.0000 2.1589 9.7249
Ge 0.0000 0.0000 3.1626
Ge 2.1634 2.2709 0.0000
Ge 0.0000 1.3040 7.2684
Ge 0.0000 0.0000 11.3743
```

Values from the calculation:
Its total energy is -49.42 eV/cell. Its calculated density is 8.93 g/cm³. The calculation puts the calculated volume at 20.441 Å³/atom.

=====

NdGd2Ag4Ge4: relaxed, PBE-GGA.

extended XYZ file:
```
11
Lattice="-2.1925 3.6002 7.3456 2.1925 -3.6002 7.3456 2.1925 3.6002 -7.3456" Properties=species:S:1:pos:R:3 pbc="T T T"
Nd 0.0000 0.0000 0.0000
Gd 2.1925 0.0000 5.4873
Gd 0.0000 3.6002 1.8583
Ag 2.1925 1.4207 -2.4845
Ag 2.1925 1.4207 2.4845
Ag 0.0000 2.1795 4.8611
Ag 0.0000 2.1795 9.8301
Ge 0.0000 0.0000 3.1836
Ge 2.1925 2.2904 0.0000
Ge 0.0000 1.3097 7.3456
Ge 0.0000 0.0000 11.5076
```

Values from the calculation:
Its total energy is -50.00 eV/cell. Its calculated density is 8.45 g/cm³. The calculation puts the calculated volume at 21.085 Å³/atom.

=====

NdGd2Ag4Sn2Ge2: relaxed, PBE-GGA.

extended XYZ file:
```
11
Lattice="-2.2212 3.7352 7.5101 2.2212 -3.7352 7.5101 2.2212 3.7352 -7.5101" Properties=species:S:1:pos:R:3 pbc="T T T"
Nd 0.0000 0.0000 0.0000
Gd 2.2212 0.0000 5.5182
Gd 0.0000 3.7352 1.9919
Ag 2.2212 1.4593 -2.6424
Ag 2.2212 1.4593 2.6424
Ag 0.0000 2.2759 4.8677
Ag 0.0000 2.2759 10.1525
Sn 2.2212 2.3030 0.0000
Sn 0.0000 1.4322 7.5101
Ge 0.0000 0.0000 3.2699
Ge 0.0000 0.0000 11.7504
```

Values from the calculation:
Its total energy is -48.31 eV/cell. Its calculated density is 8.48 g/cm³. The calculation puts the calculated volume at 22.657 Å³/atom.

=====

Nd2GdAg4Sn2Ge2: relaxed, PBE-GGA.

extended XYZ file:
```
11
Lattice="-2.2642 3.6826 7.5966 2.2642 -3.6826 7.5966 2.2642 3.6826 -7.5966" Properties=species:S:1:pos:R:3 pbc="T T T"
Nd 0.0000 0.0000 2.0121
Nd 0.0000 0.0000 13.1810
Gd 0.0000 3.6826 0.0000
Ag 2.2642 2.2494 -2.6632
Ag 2.2642 2.2494 2.6632
Ag 0.0000 1.4332 4.9334
Ag 0.0000 1.4332 10.2598
Sn 2.2642 1.4534 0.0000
Sn 0.0000 2.2292 7.5966
Ge 2.2642 0.0000 4.3310
Ge 0.0000 3.6826 3.2656
```

Values from the calculation:
Its total energy is -48.36 eV/cell. Its calculated density is 8.26 g/cm³. The calculation puts the calculated volume at 23.033 Å³/atom.

=====

Look up the calculated volume of the fifth one. 22.657 Å³/atom